AcLa2Tb after structural relaxation, computed with PBE.

Results
**E**: -53.88 eV per cell
**Relative energy among the computed polymorphs**: 139.1 meV per atom
**Energy of formation**: 158 meV per atom
**DOS(E_F)**: 1.808 states/eV per atom
**Spin magnetization**: 0.0 μB per cell

a = 3.6801 Å, b = 3.6801 Å, c = 39.3368 Å
α = 90.00°, β = 90.00°, γ = 120.00°
Space group R-3m (No. 166, hexagonal axes)
Symmetry-distinct sites (fractional):
Ac 0.0000 0.0000 0.0000
La 0.0000 0.0000 0.0920
Tb 0.0000 0.0000 0.5000